[1]
Computed, not measured: a geometry-optimized YZr2Tl structure at the GGA-PBE level of DFT.

```
YZr2Tl
1.0
1.6907 0.9761 10.4328
-1.6907 0.9761 10.4328
0.0000 -1.9522 10.4328
Y Zr Tl
1 2 1
Cartesian
0.0000 0.0000 0.0000 Y
0.0000 0.0000 15.5847 Zr
0.0000 0.0000 23.6000 Zr
0.0000 0.0000 7.7024 Tl
```

Summary:
The space-group type is R3m. Its uncorrected energy is -6.50 eV/atom. Its energy above the most stable polymorph in this dataset is 48 meV/atom. For the formation energy, the calculation gives -18 meV/atom.

***

[2]
Computed, not measured: a geometry-optimized Y4ZrTl structure at the GGA-PBE level of DFT.

```
Y4ZrTl
1.0
0.0000 4.4636 4.4636
4.4636 0.0000 4.4636
4.4636 4.4636 0.0000
Y Zr Tl
4 1 1
Cartesian
1.1079 1.1079 1.1079 Y
3.3557 3.3557 1.1079 Y
3.3557 1.1079 3.3557 Y
1.1079 3.3557 3.3557 Y
6.6953 6.6953 6.6953 Zr
4.4636 4.4636 4.4636 Tl
```

Summary:
The space-group type is F-43m. Its uncorrected energy is -5.75 eV/atom. For the formation energy, the calculation gives 379 meV/atom.

***

[3]
Computed, not measured: a geometry-optimized YZrTl2 structure at the GGA-PBE level of DFT.

```
YZrTl2
1.0
3.5355 0.0000 0.0000
0.0000 3.5355 0.0000
0.0000 0.0000 8.6280
Y Zr Tl
1 1 2
Cartesian
0.0000 0.0000 0.0000 Y
1.7677 1.7677 2.1959 Zr
0.0000 0.0000 4.1694 Tl
1.7677 1.7677 6.2939 Tl
```

Summary:
The space-group type is P4mm. Its uncorrected energy is -4.92 eV/atom. For the formation energy, the calculation gives 16 meV/atom.

***

[4]
Computed, not measured: a geometry-optimized YZrTl structure at the GGA-PBE level of DFT.

```
YZrTl
1.0
4.3883 0.0000 0.0000
0.0000 4.3883 0.0000
0.0000 0.0000 8.2937
Y Zr Tl
2 2 2
Cartesian
1.0971 1.0971 1.3172 Y
3.2912 3.2912 6.9765 Y
1.0971 3.2912 4.1469 Zr
3.2912 1.0971 4.1469 Zr
1.0971 1.0971 6.3903 Tl
3.2912 3.2912 1.9034 Tl
```

Summary:
The space-group type is P4/nmm. Its uncorrected energy is -6.02 eV/atom. Its energy above the most stable polymorph in this dataset is 0 meV/atom. For the formation energy, the calculation gives -231 meV/atom.

***

[5]
Computed, not measured: a geometry-optimized YZrTl structure at the GGA-PBE level of DFT.

```
YZrTl
1.0
-1.7427 1.7427 6.4715
1.7427 -1.7427 6.4715
1.7427 1.7427 -6.4715
Y Zr Tl
1 1 1
Cartesian
0.0000 0.0000 0.0000 Y
0.0000 0.0000 4.2254 Zr
0.0000 0.0000 8.6997 Tl
```

Summary:
The space-group type is I4mm. Its uncorrected energy is -5.91 eV/atom. Its energy above the most stable polymorph in this dataset is 112 meV/atom. For the formation energy, the calculation gives -118 meV/atom.

***

[6]
Computed, not measured: a geometry-optimized YZrTl2 structure at the GGA-PBE level of DFT.

```
YZrTl2
1.0
3.3866 -4.3838 0.0000
3.3866 4.3838 0.0000
0.0000 0.0000 3.3468
Y Zr Tl
1 1 2
Cartesian
0.0000 0.0000 0.0000 Y
3.3866 0.0000 0.0000 Zr
1.6933 2.1919 1.6734 Tl
1.6933 -2.1919 1.6734 Tl
```

Summary:
The space-group type is Cmmm. Its uncorrected energy is -5.10 eV/atom. For the formation energy, the calculation gives -167 meV/atom.